Material: TcNi2
Method: DFT, meta-GGA SCAN
State: single point on PBEsol structure

Cell and atoms, written as POSCAR:
```
TcNi2
1.0
5.122 0.000 0.000
0.000 3.526 0.000
0.000 0.000 7.663
Tc Ni
4 8
Direct
0.121 0.250 0.077 Tc
0.379 0.750 0.577 Tc
0.621 0.250 0.423 Tc
0.879 0.750 0.923 Tc
0.117 0.250 0.414 Ni
0.131 0.250 0.748 Ni
0.369 0.750 0.248 Ni
0.383 0.750 0.914 Ni
0.617 0.250 0.086 Ni
0.631 0.250 0.752 Ni
0.869 0.750 0.252 Ni
0.883 0.750 0.586 Ni
```

D(E_F)	2.6	states/eV/f.u.
energy of formation from the pure elements	0.0339	eV/atom
SG	Pnma (62)
energy above the lowest structure with this stoichiometry	32	meV/atom
theoretical density	10.3	g/cm3
E_tot	-22.435	eV per atom
total magnetic moment	0.0	μB per formula unit